No. 1
## SmMgPd (PBE)

Data for SmMgPd after structural relaxation.

Unit cell a=4.2954 b=8.6996 c=7.2718 alpha=90.00 beta=90.00 gamma=90.00
With the nearest neighbours (Å) after each atom.
Fractional coordinates of all 12 atoms:
Mg (0.7500, 0.5602, 0.6348)  4 Pd 2.80-2.89, 2 Mg 3.09
Sm (0.2500, 0.8193, 0.4585)  5 Pd 3.04-3.14, 5 Mg 3.35-3.37
Sm (0.2500, 0.6807, 0.9585)  5 Pd 3.04-3.14, 5 Mg 3.35-3.37
Mg (0.2500, 0.0602, 0.8652)  4 Pd 2.80-2.89, 2 Mg 3.09
Sm (0.7500, 0.1807, 0.5415)  5 Pd 3.04-3.14, 5 Mg 3.35-3.37
Mg (0.7500, 0.9398, 0.1348)  4 Pd 2.80-2.89, 2 Mg 3.09
Pd (0.2500, 0.3782, 0.7498)  4 Mg 2.80-2.89, 3 Sm 3.04-3.06
Pd (0.2500, 0.1218, 0.2498)  4 Mg 2.80-2.89, 3 Sm 3.04-3.06
Sm (0.7500, 0.3193, 0.0415)  5 Pd 3.04-3.14, 5 Mg 3.35-3.37
Mg (0.2500, 0.4398, 0.3652)  4 Pd 2.80-2.89, 2 Mg 3.09
Pd (0.7500, 0.8782, 0.7502)  4 Mg 2.80-2.89, 3 Sm 3.04-3.06
Pd (0.7500, 0.6218, 0.2502)  4 Mg 2.80-2.89, 3 Sm 3.04-3.06

Computed properties:
Formation energy from the elements = -0.658 eV/atom
DOS at the Fermi energy = 8.44 states/eV/cell

---

No. 2
## SmMg4Pd (PBE)

Data for SmMg4Pd after structural relaxation.

Unit cell a=4.1476 b=7.5298 c=8.8354 alpha=90.00 beta=90.00 gamma=90.00
With the nearest neighbours (Å) after each atom.
Fractional coordinates of all 12 atoms:
Mg (0.5000, 0.3061, 0.5592)  2 Pd 2.78, 1 Mg 3.10
Mg (0.0000, 0.0000, 0.0000)  2 Pd 2.69
Sm (0.0000, 0.4010, 0.2500)  1 Pd 2.98
Mg (0.5000, 0.0492, 0.2500)  2 Pd 2.81, 4 Mg 3.05
Mg (0.5000, 0.6939, 0.0592)  2 Pd 2.78, 1 Mg 3.10
Mg (0.5000, 0.9508, 0.7500)  2 Pd 2.81, 4 Mg 3.05
Pd (0.0000, 0.7966, 0.2500)  8 Mg 2.69-2.81, 1 Sm 2.98
Sm (0.0000, 0.5990, 0.7500)  1 Pd 2.98
Mg (0.0000, 0.0000, 0.5000)  2 Pd 2.69
Mg (0.5000, 0.6939, 0.4408)  2 Pd 2.78, 1 Mg 3.10
Pd (0.0000, 0.2034, 0.7500)  8 Mg 2.69-2.81, 1 Sm 2.98
Mg (0.5000, 0.3061, 0.9408)  2 Pd 2.78, 1 Mg 3.10

Computed properties:
Formation energy from the elements = -0.347 eV/atom
DOS at the Fermi energy = 9.19 states/eV/cell

---

No. 3
## SmMg3Pd (PBE)

Data for SmMg3Pd after structural relaxation.

Unit cell a=4.1363 b=9.2869 c=12.1147 alpha=90.00 beta=90.00 gamma=90.00
With the nearest neighbours (Å) after each atom.
Fractional coordinates of all 20 atoms:
Pd (0.2500, 0.1437, 0.6320)  7 Mg 2.72-2.79, 2 Sm 3.04
Sm (0.2500, 0.6778, 0.4902)  2 Pd 3.04
Mg (0.7500, 0.4529, 0.9175)  3 Pd 2.75-2.79, 2 Mg 3.01
Sm (0.7500, 0.8222, 0.9902)  2 Pd 3.04
Mg (0.7500, 0.1570, 0.7848)  2 Pd 2.78, 3 Mg 3.10
Mg (0.2500, 0.8430, 0.2152)  2 Pd 2.78, 3 Mg 3.10
Pd (0.2500, 0.6437, 0.8680)  7 Mg 2.72-2.79, 2 Sm 3.04
Sm (0.7500, 0.3222, 0.5098)  2 Pd 3.04
Mg (0.2500, 0.4088, 0.7279)  2 Pd 2.72-2.76
Mg (0.2500, 0.3430, 0.2848)  2 Pd 2.78, 3 Mg 3.10
Sm (0.2500, 0.1778, 0.0098)  2 Pd 3.04
Mg (0.7500, 0.6570, 0.7152)  2 Pd 2.78, 3 Mg 3.10
Mg (0.7500, 0.9529, 0.5825)  3 Pd 2.75-2.79, 2 Mg 3.01
Pd (0.7500, 0.8563, 0.3680)  7 Mg 2.72-2.79, 2 Sm 3.04
Pd (0.7500, 0.3563, 0.1320)  7 Mg 2.72-2.79, 2 Sm 3.04
Mg (0.2500, 0.0471, 0.4175)  3 Pd 2.75-2.79, 2 Mg 3.01
Mg (0.2500, 0.5471, 0.0825)  3 Pd 2.75-2.79, 2 Mg 3.01
Mg (0.7500, 0.5912, 0.2721)  2 Pd 2.72-2.76
Mg (0.2500, 0.9088, 0.7721)  2 Pd 2.72-2.76
Mg (0.7500, 0.0912, 0.2279)  2 Pd 2.72-2.76

Computed properties:
Formation energy from the elements = -0.380 eV/atom
DOS at the Fermi energy = 15.67 states/eV/cell
Distance to the lowest polymorph of the same formula = 22 meV/atom

---

No. 4
## SmMg3Pd (PBE)

Data for SmMg3Pd after structural relaxation.

Unit cell a=4.9842 b=4.9842 c=4.9842 alpha=90.00 beta=90.00 gamma=90.00
With the nearest neighbours (Å) after each atom.
Fractional coordinates of all 5 atoms:
Mg (0.0000, 0.5000, 0.0000)  2 Pd 2.49
Mg (0.0000, 0.0000, 0.5000)  2 Pd 2.49
Sm (0.5000, 0.5000, 0.5000)  12 Mg 3.52
Pd (0.0000, 0.0000, 0.0000)  6 Mg 2.49
Mg (0.5000, 0.0000, 0.0000)  2 Pd 2.49

Computed properties:
Formation energy from the elements = -0.221 eV/atom
DOS at the Fermi energy = 6.30 states/eV/cell
Distance to the lowest polymorph of the same formula = 181 meV/atom

---

No. 5
## Sm6MgPd (PBE)

Data for Sm6MgPd after structural relaxation.

Unit cell a=9.2838 b=8.3668 c=6.2553 alpha=47.93 beta=42.06 gamma=56.26
With the nearest neighbours (Å) after each atom.
Fractional coordinates of all 8 atoms:
Pd (0.0000, 0.0000, 0.0000)  6 Sm 2.95
Sm (0.4245, 0.7606, 0.8509)  1 Pd 2.95, 2 Sm 3.26-3.29
Sm (0.0357, 0.4244, 0.7792)  1 Pd 2.95, 2 Sm 3.27-3.29
Sm (0.9643, 0.5756, 0.2208)  1 Pd 2.95, 2 Sm 3.27-3.29
Sm (0.7609, 0.9648, 0.6984)  1 Pd 2.95, 2 Sm 3.27-3.29
Sm (0.2391, 0.0352, 0.3016)  1 Pd 2.95, 2 Sm 3.27-3.29
Sm (0.5755, 0.2394, 0.1491)  1 Pd 2.95, 2 Sm 3.26-3.29
Mg (0.5000, 0.5000, 0.5000)  12 Sm 3.52-3.53

Computed properties:
Formation energy from the elements = -0.124 eV/atom
DOS at the Fermi energy = 9.81 states/eV/cell

---

No. 6
## Sm2MgPd4 (PBE)

Data for Sm2MgPd4 after structural relaxation.

Unit cell a=4.6825 b=4.6825 c=8.0320 alpha=106.95 beta=106.95 gamma=90.00
With the nearest neighbours (Å) after each atom.
Fractional coordinates of all 7 atoms:
Pd (0.0000, 0.5000, 0.0000)  2 Mg 2.34
Sm (0.3602, 0.3602, 0.7204)  1 Pd 2.77
Sm (0.6398, 0.6398, 0.2796)  1 Pd 2.77
Pd (0.1710, 0.1710, 0.3420)  1 Mg 2.50, 1 Sm 2.77
Pd (0.5000, 0.0000, 0.0000)  2 Mg 2.34
Mg (0.0000, 0.0000, 0.0000)  6 Pd 2.34-2.50
Pd (0.8290, 0.8290, 0.6580)  1 Mg 2.50, 1 Sm 2.77

Computed properties:
Formation energy from the elements = -0.337 eV/atom
DOS at the Fermi energy = 4.65 states/eV/cell